a) DFT (PBE) results for an optimized crystal structure of TbDy12Tm7.

Structure (extended XYZ):
```
20
Lattice="6.345 0.000 1.836 -3.596 9.228 4.506 -0.847 0.000 10.848" Properties=species:S:1:pos:R:3 pbc="T T T"
Dy 1.430 1.953 8.002
Dy 2.446 4.812 9.623
Dy -2.334 8.634 10.299
Dy -0.864 5.010 13.140
Dy 4.154 3.893 12.303
Dy 1.498 7.289 13.559
Dy 4.236 0.594 6.891
Dy 0.471 7.275 9.188
Dy 2.766 4.218 4.050
Dy 0.403 1.939 3.630
Dy -0.544 4.416 7.567
Dy -2.252 5.336 4.886
Tb 0.000 0.000 0.000
Tm -2.423 7.689 7.291
Tm 0.935 2.804 11.528
Tm 3.172 0.000 0.918
Tm -1.920 7.964 13.474
Tm 3.822 1.265 3.716
Tm 4.324 1.539 9.899
Tm 0.967 6.424 5.661
```

## Properties
For the density, the calculation gives 8.42 g/cm3. As for the space-group type: R-3. The volume comes out at 32.47 Å³/atom.


b) DFT (PBE) results for an optimized crystal structure of TbDy12Tm7.

Structure (extended XYZ):
```
20
Lattice="8.506 0.747 1.121 -1.648 8.378 1.121 -1.648 -2.192 8.164" Properties=species:S:1:pos:R:3 pbc="T T T"
Tm 2.817 0.238 1.078
Tm 5.127 3.976 9.771
Tm 5.765 7.007 7.433
Tm 0.084 2.957 0.635
Tm -0.554 -0.073 2.974
Tm 2.605 3.467 5.203
Tm 2.394 6.695 9.329
Dy 2.497 3.973 2.193
Dy 5.553 2.792 2.728
Dy 4.073 6.769 3.717
Dy 5.431 4.397 5.896
Dy 1.138 0.164 6.690
Dy 2.089 6.259 6.329
Dy -0.159 5.735 3.627
Dy 3.122 0.674 4.078
Dy 5.370 1.198 6.779
Dy -0.220 2.536 4.511
Dy -0.342 4.141 7.678
Dy 2.714 2.961 8.214
Tb 0.000 0.000 0.000
```

## Properties
For the density, the calculation gives 8.66 g/cm3. As for the space-group type: R-3. The volume comes out at 31.55 Å³/atom.


Stability ranking, top and bottom: b) is the most stable and a) is the least stable.


a) DFT (PBE) results for an optimized crystal structure of Tb4Dy2Tm5.

Structure (extended XYZ):
```
11
Lattice="3.582 -0.536 -0.034 -2.382 8.797 -3.581 1.594 -2.350 12.230" Properties=species:S:1:pos:R:3 pbc="T T T"
Tb 2.234 2.541 2.653
Tb 0.559 3.370 5.962
Tb 2.383 3.115 9.214
Tb 0.411 2.796 -0.598
Dy 3.759 0.123 8.398
Dy -0.965 5.787 0.217
Tm 1.897 0.095 5.494
Tm 1.791 -0.268 -0.017
Tm 0.897 5.815 3.121
Tm 3.586 -0.679 2.708
Tm -0.792 6.590 5.907
```

## Properties
For the density, the calculation gives 8.74 g/cm3. As for the space-group type: C2/m. The volume comes out at 31.18 Å³/atom.


b) DFT (PBE) results for an optimized crystal structure of Tb4Dy2Tm5.

Structure (extended XYZ):
```
11
Lattice="-2.435 0.228 -2.430 3.715 -6.425 -4.326 -5.949 -6.727 7.775" Properties=species:S:1:pos:R:3 pbc="T T T"
Tb -2.659 -7.657 1.946
Tb -2.010 -5.267 -0.926
Tb -5.344 -10.015 1.969
Tb 0.676 -2.908 -0.950
Tm -1.218 0.114 -1.215
Tm -0.256 -8.384 -0.531
Tm -1.589 -2.631 1.345
Tm -4.413 -4.539 1.550
Tm -3.080 -10.292 -0.326
Dy 1.450 -5.968 -2.013
Dy -6.119 -6.955 3.033
```

## Properties
For the density, the calculation gives 8.68 g/cm3. As for the space-group type: C2/m. The volume comes out at 31.40 Å³/atom.


Stability ranking, top and bottom: a) is the most stable and b) is the least stable.


a) DFT (PBE) results for an optimized crystal structure of Tb3Dy2Tm.

Structure (extended XYZ):
```
12
Lattice="-7.077 -0.854 0.337 5.584 -4.416 -7.191 4.271 -4.042 4.034" Properties=species:S:1:pos:R:3 pbc="T T T"
Tm 3.480 -8.086 -3.913
Tm -0.702 -1.225 1.092
Dy -0.328 -4.643 0.423
Dy 3.106 -4.669 -3.243
Dy -2.463 -2.630 -1.603
Dy 5.240 -6.682 -1.217
Tb 1.077 -2.196 -1.766
Tb 1.700 -7.116 -1.054
Tb 1.433 -3.246 3.109
Tb 1.344 -6.065 -5.929
Tb 3.213 -4.225 0.242
Tb -0.436 -5.087 -3.062
```

## Properties
For the density, the calculation gives 8.58 g/cm3. As for the space-group type: P-1. The volume comes out at 31.33 Å³/atom.


b) DFT (PBE) results for an optimized crystal structure of Tb3Dy2Tm.

Structure (extended XYZ):
```
12
Lattice="-3.333 -4.148 1.716 7.671 -0.536 4.496 -6.862 6.406 2.158" Properties=species:S:1:pos:R:3 pbc="T T T"
Tb -0.974 2.415 3.946
Tb -4.467 1.288 3.546
Tb 1.943 0.434 4.824
Tb -1.550 -0.693 4.423
Tb -2.270 2.122 0.720
Tb -0.254 -0.400 7.649
Dy 0.743 -2.833 3.704
Dy 0.273 2.739 7.151
Dy -2.797 -1.017 1.218
Dy -3.267 4.555 4.665
Tm -3.178 1.584 6.765
Tm 0.654 0.138 1.604
```

## Properties
For the density, the calculation gives 8.61 g/cm3. As for the space-group type: C2/m. The volume comes out at 31.21 Å³/atom.


Stability ranking, top and bottom: a) is the most stable and b) is the least stable.


a) DFT (PBE) results for an optimized crystal structure of TbDy2Tm.

Structure (extended XYZ):
```
4
Lattice="4.989 0.000 0.000 0.000 4.985 0.000 0.000 0.000 4.985" Properties=species:S:1:pos:R:3 pbc="T T T"
Dy 0.000 0.000 2.493
Dy 0.000 2.493 0.000
Tb 2.495 0.000 0.000
Tm 2.495 2.493 2.493
```

## Properties
For the density, the calculation gives 8.74 g/cm3. As for the space-group type: P4/mmm. The volume comes out at 31.00 Å³/atom.


b) DFT (PBE) results for an optimized crystal structure of TbDy2Tm.

Structure (extended XYZ):
```
4
Lattice="3.554 0.000 0.000 1.777 3.078 0.000 1.777 1.026 11.373" Properties=species:S:1:pos:R:3 pbc="T T T"
Tm 3.554 2.052 5.676
Dy 1.777 1.026 2.882
Dy 1.777 1.026 8.496
Tb 3.554 2.052 0.005
```

## Properties
For the density, the calculation gives 8.72 g/cm3. As for the space-group type: R3m. The volume comes out at 31.10 Å³/atom.


c) DFT (PBE) results for an optimized crystal structure of TbDy2Tm.

Structure (extended XYZ):
```
4
Lattice="5.628 0.000 0.000 2.814 4.874 0.000 2.814 1.625 4.595" Properties=species:S:1:pos:R:3 pbc="T T T"
Tm 5.628 3.249 2.298
Tb 0.000 0.000 0.000
Dy 2.814 1.625 1.149
Dy 8.442 4.874 3.446
```

## Properties
For the density, the calculation gives 8.60 g/cm3. As for the space-group type: Fm-3m. The volume comes out at 31.51 Å³/atom.


Stability ranking, top and bottom: b) is the most stable and c) is the least stable.


a) DFT (PBE) results for an optimized crystal structure of TbDy2Tm.

Structure (extended XYZ):
```
4
Lattice="-1.232 0.784 -3.208 2.912 -1.356 -1.450 -4.405 -8.938 -0.493" Properties=species:S:1:pos:R:3 pbc="T T T"
Tm 0.840 -0.286 -2.329
Dy -3.315 -6.725 -0.371
Dy -1.091 -2.213 -0.122
Tb -1.363 -4.754 -2.575
```

## Properties
For the density, the calculation gives 8.75 g/cm3. As for the space-group type: P4/mmm. The volume comes out at 30.98 Å³/atom.


b) DFT (PBE) results for an optimized crystal structure of TbDy2Tm.

Structure (extended XYZ):
```
16
Lattice="5.591 0.000 0.000 0.000 12.476 0.000 0.000 0.000 7.220" Properties=species:S:1:pos:R:3 pbc="T T T"
Dy 5.275 5.195 3.608
Dy 5.273 5.195 0.007
Dy 2.478 1.043 3.617
Dy 2.479 7.281 3.612
Dy 2.479 1.043 7.218
Dy 2.478 7.281 7.213
Dy 5.273 11.433 3.603
Dy 5.275 11.433 0.002
Tb 5.274 8.324 1.803
Tb 2.478 10.390 5.413
Tb 5.274 2.086 1.807
Tb 2.478 4.152 5.417
Tm 5.274 2.076 5.417
Tm 5.274 8.314 5.414
Tm 2.479 4.161 1.807
Tm 2.479 10.399 1.804
```

## Properties
For the density, the calculation gives 8.61 g/cm3. As for the space-group type: Pmmn. The volume comes out at 31.48 Å³/atom.


Stability ranking, top and bottom: b) is the most stable and a) is the least stable.


a) DFT (PBE) results for an optimized crystal structure of Tb3Dy2Tm3.

Structure (extended XYZ):
```
8
Lattice="-2.979 3.923 0.694 -1.464 -0.271 -4.753 -5.207 -7.932 4.666" Properties=species:S:1:pos:R:3 pbc="T T T"
Tm -0.732 -0.135 -2.377
Tm -1.856 -1.526 0.659
Tm -7.793 -2.754 -0.052
Dy -5.200 -1.088 1.664
Dy -4.450 -3.192 -1.057
Tb -4.069 0.307 -1.374
Tb -5.581 -4.587 1.980
Tb -1.489 1.962 0.347
```

## Properties
For the density, the calculation gives 8.80 g/cm3. As for the space-group type: Immm. The volume comes out at 30.88 Å³/atom.


b) DFT (PBE) results for an optimized crystal structure of Tb3Dy2Tm3.

Structure (extended XYZ):
```
8
Lattice="6.368 -0.322 0.315 -0.315 6.368 0.315 0.323 0.322 6.368" Properties=species:S:1:pos:R:3 pbc="T T T"
Dy 4.299 4.294 2.387
Dy 2.077 2.074 4.612
Tb 0.002 1.933 1.931
Tb 1.616 4.435 0.315
Tb 4.758 0.000 4.752
Tm 5.270 3.184 5.579
Tm 3.185 1.102 1.419
Tm 1.108 5.267 3.499
```

## Properties
For the density, the calculation gives 8.48 g/cm3. As for the space-group type: R32. The volume comes out at 32.03 Å³/atom.


Stability ranking, top and bottom: a) is the most stable and b) is the least stable.


a) DFT (PBE) results for an optimized crystal structure of Tb4Dy4Tm3.

Structure (extended XYZ):
```
11
Lattice="0.629 1.813 -3.000 3.852 -7.527 -3.742 -11.780 -0.132 -0.435" Properties=species:S:1:pos:R:3 pbc="T T T"
Tb -7.498 -0.785 -2.046
Tb 0.199 -5.061 -5.131
Tb -1.181 -2.365 -3.791
Tb -6.119 -3.482 -3.386
Dy 3.457 -5.236 -4.554
Dy -3.013 -5.311 -3.841
Dy 1.023 -0.478 -2.188
Dy -4.287 -0.535 -3.336
Tm -2.068 -0.648 -0.825
Tm 1.926 -3.764 -1.871
Tm -5.232 -5.199 -6.352
```

## Properties
For the density, the calculation gives 8.45 g/cm3. As for the space-group type: Immm. The volume comes out at 32.02 Å³/atom.


b) DFT (PBE) results for an optimized crystal structure of Tb4Dy4Tm3.

Structure (extended XYZ):
```
11
Lattice="-0.283 1.983 2.864 -4.587 2.350 -2.079 -12.272 -10.259 8.030" Properties=species:S:1:pos:R:3 pbc="T T T"
Tb -6.496 1.103 0.730
Tb -7.017 -3.621 3.951
Tb -10.647 -7.028 8.086
Tb -10.125 -2.305 4.864
Dy -3.331 1.027 1.091
Dy -8.265 -1.129 2.098
Dy -8.877 -4.797 6.717
Dy -13.811 -6.953 7.724
Tm 0.000 0.000 0.000
Tm -5.253 -0.227 3.904
Tm -11.890 -5.698 4.911
```

## Properties
For the density, the calculation gives 8.71 g/cm3. As for the space-group type: P-1. The volume comes out at 31.07 Å³/atom.


Stability ranking, top and bottom: b) is the most stable and a) is the least stable.


a) DFT (PBE) results for an optimized crystal structure of Tb2Dy3Tm6.

Structure (extended XYZ):
```
11
Lattice="4.668 0.000 0.000 0.000 4.668 0.000 -2.334 -2.334 16.412" Properties=species:S:1:pos:R:3 pbc="T T T"
Dy 0.000 0.000 0.000
Dy 2.334 2.334 9.799
Dy 0.000 0.000 6.614
Tb 0.000 0.000 14.895
Tb 2.334 2.334 1.518
Tm 2.334 2.334 6.401
Tm 0.000 2.334 3.998
Tm 0.000 0.000 10.012
Tm 2.334 0.000 12.415
Tm 2.334 0.000 3.998
Tm 0.000 2.334 12.415
```

## Properties
For the density, the calculation gives 8.45 g/cm3. As for the space-group type: I4/mmm. The volume comes out at 32.51 Å³/atom.


b) DFT (PBE) results for an optimized crystal structure of Tb2Dy3Tm6.

Structure (extended XYZ):
```
11
Lattice="3.506 0.000 0.215 1.747 3.040 0.215 -0.171 -0.099 31.465" Properties=species:S:1:pos:R:3 pbc="T T T"
Tm 1.755 1.016 28.760
Tm 3.327 1.926 3.135
Tm 0.353 0.205 22.924
Tm 4.729 2.737 8.972
Tm 0.876 0.507 14.398
Tm 4.206 2.434 17.497
Dy 1.401 0.811 5.840
Dy 0.000 0.000 0.000
Dy 3.681 2.130 26.055
Tb 2.803 1.622 11.685
Tb 2.280 1.319 20.211
```

## Properties
For the density, the calculation gives 9.00 g/cm3. As for the space-group type: R-3m. The volume comes out at 30.51 Å³/atom.


Stability ranking, top and bottom: b) is the most stable and a) is the least stable.


a) DFT (PBE) results for an optimized crystal structure of Tb4DyTm6.

Structure (extended XYZ):
```
11
Lattice="-3.584 0.244 -6.672 3.368 -6.472 -2.046 -4.796 -0.232 6.871" Properties=species:S:1:pos:R:3 pbc="T T T"
Tm 1.684 -3.236 -1.023
Tm -0.200 -5.987 -2.304
Tm -3.054 -0.592 3.729
Tm -3.610 -2.693 -4.573
Tm -1.792 0.122 -3.336
Tm -3.160 -3.647 -0.547
Tb -0.924 -5.674 -6.851
Tb -0.782 -1.570 -1.105
Tb -6.450 -0.624 0.606
Tb -1.868 -5.051 3.655
Dy -0.108 -3.114 -4.359
```

## Properties
For the density, the calculation gives 8.13 g/cm3. As for the space-group type: I-42m. The volume comes out at 33.65 Å³/atom.


b) DFT (PBE) results for an optimized crystal structure of Tb4DyTm6.

Structure (extended XYZ):
```
11
Lattice="-5.216 6.614 -4.585 2.114 -9.344 -0.441 -0.468 -5.778 7.640" Properties=species:S:1:pos:R:3 pbc="T T T"
Dy 0.000 0.000 0.000
Tm -3.033 1.348 -1.564
Tm -2.842 0.418 1.527
Tm 0.573 -8.879 5.978
Tm -0.963 -5.944 2.316
Tm -1.551 -1.365 -2.513
Tm 1.498 -10.155 3.084
Tb -0.271 -3.817 4.875
Tb -1.360 -2.984 0.882
Tb -1.638 -10.782 4.235
Tb 1.344 -6.047 -0.178
```

## Properties
For the density, the calculation gives 8.44 g/cm3. As for the space-group type: I-42m. The volume comes out at 32.39 Å³/atom.


Stability ranking, top and bottom: b) is the most stable and a) is the least stable.


a) DFT (PBE) results for an optimized crystal structure of Tb6DyTm12.

Structure (extended XYZ):
```
19
Lattice="8.268 1.266 1.517 -0.002 8.365 1.517 -0.002 -0.003 8.501" Properties=species:S:1:pos:R:3 pbc="T T T"
Tm 4.011 4.674 8.310
Tm 4.252 2.287 5.451
Tm 6.648 5.078 6.084
Tm 7.142 8.320 6.989
Tm 4.244 7.876 9.435
Tm 4.253 4.954 3.224
Tm 7.142 5.389 9.436
Tm 4.020 1.752 2.099
Tm 1.122 1.308 4.546
Tm 1.122 4.239 2.099
Tm 4.012 7.341 6.083
Tm 1.616 4.550 5.451
Tb 1.337 6.632 7.944
Tb 6.353 7.401 3.709
Tb 1.912 2.228 7.825
Tb 6.927 2.996 3.590
Tb 1.912 7.301 3.590
Tb 6.352 2.327 7.945
Dy 0.000 0.000 0.000
```

## Properties
For the density, the calculation gives 8.88 g/cm3. As for the space-group type: R-3m. The volume comes out at 30.95 Å³/atom.


b) DFT (PBE) results for an optimized crystal structure of Tb6DyTm12.

Structure (extended XYZ):
```
19
Lattice="0.481 1.728 -8.992 -7.204 -5.524 1.285 -1.938 7.941 4.154" Properties=species:S:1:pos:R:3 pbc="T T T"
Tm -1.204 2.673 -1.485
Tm -5.661 3.166 -4.469
Tm -6.226 4.618 -1.397
Tm -1.349 4.885 -5.763
Tm -3.000 0.978 0.917
Tm -7.457 1.471 -2.068
Tm -3.392 -0.338 -6.876
Tm -2.434 -0.474 -2.155
Tm -5.269 4.482 3.324
Tm -7.311 -0.741 2.211
Tm -6.373 -3.151 -2.889
Tm -2.287 7.295 -0.663
Tb -3.496 4.433 0.514
Tb -6.116 2.156 1.108
Tb -5.569 -0.866 -0.615
Tb -5.164 -0.289 -4.066
Tb -2.544 1.988 -4.660
Tb -3.091 5.010 -2.937
Dy 0.000 0.000 0.000
```

## Properties
For the density, the calculation gives 8.13 g/cm3. As for the space-group type: R-3m. The volume comes out at 33.79 Å³/atom.


Stability ranking, top and bottom: a) is the most stable and b) is the least stable.